A plane-wave DFT calculation with SCAN was carried out for a crystal of K2NiSe relaxed with PBEsol.

Summary:
For the total energy, the calculation gives -13.365 eV/atom. Its symmetry is P4mm (99). For the uncorrected formation energy, the calculation gives -0.14 eV per atom.

extended XYZ file:
```
4
Lattice="3.4824 0.0000 0.0000 0.0000 3.4824 0.0000 0.0000 0.0000 9.5652" Properties=species:S:1:pos:R:3 pbc="T T T"
K 0.0000 0.0000 0.0000
K 1.7412 1.7412 4.0268
Ni 0.0000 0.0000 6.6889
Se 1.7412 1.7412 7.0856
```